[1]
First-principles (PBE) data for crystalline NbHPdBr at its relaxed geometry, as listed in Alexandria.

Unit cell a=3.140 b=3.315 c=6.223 alpha=90.00 beta=90.23 gamma=90.00
Fractional coordinates of all 4 atoms:
H1 0.191 0.000 0.634
Nb1 0.192 0.500 0.762
Br1 0.689 0.500 0.422
Pd1 0.695 0.000 0.026

Calculated values
- space-group type = Pm, No. 6
- calculated volume (Å³/atom) = 16.20
- crystal system = monoclinic
- total magnetization (μB per formula unit) = 0.00
- calculated total energy (eV per cell) = -20.88

---

[2]
First-principles (PBE) data for crystalline NbHSe2Br at its relaxed geometry, as listed in Alexandria.

Unit cell a=4.106 b=4.106 c=5.261 alpha=90.00 beta=90.00 gamma=90.00
Each line ends with the local moment (μB).
Fractional coordinates of all 5 atoms:
Se1 0.500 0.000 0.000  -0.08
Se2 0.000 0.500 0.000  -0.08
H1 0.000 0.000 0.000  0.00
Br1 0.000 0.000 0.500  -0.01
Nb1 0.500 0.500 0.500  2.19

Calculated values
- space-group type = P4/mmm, No. 123
- calculated volume (Å³/atom) = 17.74
- crystal system = tetragonal
- total magnetization (μB per formula unit) = 2.44
- calculated total energy (eV per cell) = -19.19

---

[3]
First-principles (PBE) data for crystalline NbHSe2Br at its relaxed geometry, as listed in Alexandria.

Unit cell a=5.002 b=5.002 c=5.350 alpha=90.00 beta=90.00 gamma=90.00
Each line ends with the local moment (μB).
Fractional coordinates of all 5 atoms:
Se1 0.000 0.500 0.000  0.00
Se2 0.500 0.000 0.000  0.00
Br1 0.000 0.000 0.500  0.01
H1 0.500 0.500 0.500  0.37
Nb1 0.000 0.000 0.000  0.03

Calculated values
- space-group type = P4/mmm, No. 123
- calculated volume (Å³/atom) = 26.77
- crystal system = tetragonal
- total magnetization (μB per formula unit) = 1.00
- calculated total energy (eV per cell) = -21.49

---

[4]
First-principles (PBE) data for crystalline NbSiH2Br at its relaxed geometry, as listed in Alexandria.

Unit cell a=3.710 b=5.962 c=3.710 alpha=90.00 beta=90.00 gamma=90.00
Each line ends with the local moment (μB).
Fractional coordinates of all 5 atoms:
Nb1 0.500 0.500 0.500  2.20
H1 0.000 0.000 0.500  0.00
H2 0.500 0.000 0.000  0.01
Si1 0.000 0.000 0.000  -0.05
Br1 0.000 0.500 0.000  0.03

Calculated values
- space-group type = P4/mmm, No. 123
- calculated volume (Å³/atom) = 16.41
- crystal system = tetragonal
- total magnetization (μB per formula unit) = 2.76
- calculated total energy (eV per cell) = -19.22

---

[5]
First-principles (PBE) data for crystalline TiNb2HBr at its relaxed geometry, as listed in Alexandria.

Unit cell a=4.797 b=4.639 c=4.797 alpha=90.00 beta=90.00 gamma=90.00
Each line ends with the local moment (μB).
Fractional coordinates of all 5 atoms:
Br1 0.000 0.000 0.000  0.03
Ti1 0.000 0.500 0.000  0.64
Nb1 0.000 0.000 0.500  0.50
Nb2 0.500 0.000 0.000  0.60
H1 0.500 0.500 0.500  -0.02

Calculated values
- space-group type = P4/mmm, No. 123
- calculated volume (Å³/atom) = 21.35
- crystal system = tetragonal
- total magnetization (μB per formula unit) = 2.21
- calculated total energy (eV per cell) = -24.51

---

[6]
First-principles (PBE) data for crystalline Nb2VHBr at its relaxed geometry, as listed in Alexandria.

Unit cell a=4.927 b=3.225 c=4.927 alpha=90.00 beta=90.00 gamma=90.00
Fractional coordinates of all 5 atoms:
Br1 0.500 0.500 0.500
H1 0.000 0.500 0.000
Nb1 0.000 0.000 0.500
Nb2 0.500 0.000 0.000
V1 0.000 0.000 0.000

Calculated values
- space-group type = P4/mmm, No. 123
- calculated volume (Å³/atom) = 15.66
- crystal system = tetragonal
- total magnetization (μB per formula unit) = 0.00
- calculated total energy (eV per cell) = -30.43

---

[7]
First-principles (PBE) data for crystalline Nd2HBr3 at its relaxed geometry, as listed in Alexandria.

Unit cell a=3.988 b=9.065 c=10.624 alpha=70.68 beta=79.18 gamma=77.29
Each line ends with the local moment (μB).
Fractional coordinates of all 12 atoms:
Br1 0.041 0.159 0.759  0.00
Br2 0.959 0.841 0.241  0.00
Br3 0.337 0.312 0.013  0.01
Br4 0.663 0.688 0.987  0.01
Br5 0.218 0.183 0.381  0.00
Br6 0.782 0.817 0.619  0.00
Nd1 0.579 0.301 0.542  0.25
Nd2 0.139 0.521 0.201  0.20
Nd3 0.861 0.479 0.799  0.20
Nd4 0.421 0.699 0.458  0.25
H1 0.422 0.490 0.666  -0.01
H2 0.578 0.510 0.334  -0.01

Calculated values
- space-group type = C2/m, No. 12
- calculated volume (Å³/atom) = 29.23
- crystal system = monoclinic
- total magnetization (μB per formula unit) = 0.89
- calculated total energy (eV per cell) = -52.73

---

[8]
First-principles (PBE) data for crystalline NdH4Br4 at its relaxed geometry, as listed in Alexandria.

Unit cell a=3.883 b=7.407 c=7.407 alpha=86.06 beta=74.81 gamma=74.81
Fractional coordinates of all 9 atoms:
H1 0.452 0.783 0.814
H2 0.734 0.314 0.717
H3 0.548 0.217 0.186
H4 0.266 0.686 0.283
Nd1 0.500 0.500 0.000
Br1 0.950 0.790 0.810
Br2 0.240 0.310 0.710
Br3 0.050 0.210 0.190
Br4 0.760 0.690 0.290

Calculated values
- space-group type = I4/m, No. 87
- calculated volume (Å³/atom) = 22.05
- crystal system = tetragonal
- total magnetization (μB per formula unit) = 0.00
- calculated total energy (eV per cell) = -27.04